# SrAc6Y

SrAc6Y after structural relaxation (PBE, Alexandria via LeMat-Bulk).

a b c (Å): 5.593 5.593 11.238
angles (deg): 90.00 90.00 90.00
Element x y z (fractional)
Sr: 0.000 0.000 0.000
Ac: 0.000 0.500 0.261
Ac: 0.000 0.500 0.739
Ac: 0.500 0.000 0.261
Ac: 0.500 0.000 0.739
Ac: 0.500 0.500 0.000
Ac: 0.500 0.500 0.500
Y: 0.000 0.000 0.500

Its calculated formation energy is 46 meV/atom. As for the symmetry: P4/mmm (123). The calculation puts the theoretical density at 7268 kg/m³. The value obtained for the total DFT energy (no corrections) is -4.0534 eV per atom.

=====

# VGaPt

VGaPt after structural relaxation (PBE, Alexandria via LeMat-Bulk).

a b c (Å): 3.829 3.561 6.586
angles (deg): 90.00 100.71 90.00
Element x y z (fractional)
V: 0.246 0.250 0.004
V: 0.754 0.750 0.996
Ga: 0.151 0.750 0.684
Ga: 0.849 0.250 0.316
Pt: 0.344 0.750 0.322
Pt: 0.656 0.250 0.678

Its calculated formation energy is -497 meV/atom. As for the symmetry: P2_1/m (11). The calculation puts the theoretical density at 11884 kg/m³. The value obtained for the total DFT energy (no corrections) is -6.5592 eV per atom.

=====

# Cu2O

Cu2O after structural relaxation (PBE, Alexandria via LeMat-Bulk).

a b c (Å): 4.288 4.288 4.288
angles (deg): 90.00 90.00 90.00
Element x y z (fractional)
Cu: 0.000 0.000 0.000
Cu: 0.000 0.500 0.500
Cu: 0.500 0.000 0.500
Cu: 0.500 0.500 0.000
O: 0.250 0.250 0.250
O: 0.750 0.750 0.750

As for the symmetry: Pn-3m (224). The calculation puts the theoretical density at 6028 kg/m³. The value obtained for the total DFT energy (no corrections) is -4.7937 eV per atom.

=====

# Bi3TeAu

Bi3TeAu after structural relaxation (PBE, Alexandria via LeMat-Bulk).

a b c (Å): 9.982 9.982 7.649
angles (deg): 96.16 96.16 123.07
Element x y z (fractional)
Bi: 0.103 0.720 0.518
Bi: 0.156 0.504 0.862
Bi: 0.273 0.422 0.357
Bi: 0.280 0.897 0.982
Bi: 0.422 0.273 0.857
Bi: 0.496 0.844 0.638
Bi: 0.504 0.156 0.362
Bi: 0.578 0.727 0.143
Bi: 0.720 0.103 0.018
Bi: 0.727 0.578 0.643
Bi: 0.844 0.496 0.138
Bi: 0.897 0.280 0.482
Te: 0.057 0.185 0.984
Te: 0.185 0.057 0.484
Te: 0.815 0.943 0.516
Te: 0.943 0.815 0.016
Au: 0.294 0.706 0.250
Au: 0.445 0.555 0.750
Au: 0.555 0.445 0.250
Au: 0.706 0.294 0.750

The energy relative to the lowest polymorph listed for this composition comes out at 0.0000 eV/atom. As for the symmetry: C2/c (15). The calculation puts the theoretical density at 10155 kg/m³. The value obtained for the total DFT energy (no corrections) is -3.6261 eV per atom.

=====

# Nb3MoIr

Nb3MoIr after structural relaxation (PBE, Alexandria via LeMat-Bulk).

a b c (Å): 4.815 4.815 4.815
angles (deg): 90.00 90.00 90.00
Element x y z (fractional)
Nb: 0.000 0.000 0.500
Nb: 0.000 0.500 0.000
Nb: 0.500 0.000 0.000
Mo: 0.500 0.500 0.500
Ir: 0.000 0.000 0.000

Its calculated formation energy is 1294 meV/atom. The energy relative to the lowest polymorph listed for this composition comes out at 0.0000 eV/atom. As for the symmetry: Pm-3m (221). The calculation puts the theoretical density at 8433 kg/m³. The value obtained for the total DFT energy (no corrections) is -8.6864 eV per atom.

=====

# PrGaSb2

PrGaSb2 after structural relaxation (PBE, Alexandria via LeMat-Bulk).

a b c (Å): 4.802 4.802 4.587
angles (deg): 90.00 90.00 90.00
Element x y z (fractional)
Pr: 0.000 0.000 0.000
Ga: 0.500 0.500 0.000
Sb: 0.000 0.500 0.500
Sb: 0.500 0.000 0.500

The energy relative to the lowest polymorph listed for this composition comes out at 0.0307 eV/atom. As for the symmetry: P4/mmm (123). The calculation puts the theoretical density at 7131 kg/m³. The value obtained for the total DFT energy (no corrections) is -4.5376 eV per atom.

=====

# NbPPd

NbPPd after structural relaxation (PBE, Alexandria via LeMat-Bulk).

a b c (Å): 3.298 3.298 15.831
angles (deg): 90.00 90.00 120.00
Element x y z (fractional)
Nb: 0.000 0.000 0.000
Nb: 0.333 0.667 0.667
Nb: 0.667 0.333 0.333
P: 0.000 0.000 0.764
P: 0.333 0.667 0.431
P: 0.667 0.333 0.098
Pd: 0.000 0.000 0.193
Pd: 0.333 0.667 0.860
Pd: 0.667 0.333 0.527

Its calculated formation energy is -382 meV/atom. As for the symmetry: R3m (160). The calculation puts the theoretical density at 7694 kg/m³. The value obtained for the total DFT energy (no corrections) is -7.2732 eV per atom.

=====

# Sr2CaPr

Sr2CaPr after structural relaxation (PBE, Alexandria via LeMat-Bulk).

a b c (Å): 3.880 3.880 42.214
angles (deg): 90.00 90.00 120.00
Element x y z (fractional)
Sr: 0.000 0.000 0.087
Sr: 0.000 0.000 0.913
Sr: 0.333 0.667 0.579
Sr: 0.333 0.667 0.754
Sr: 0.667 0.333 0.246
Sr: 0.667 0.333 0.421
Ca: 0.000 0.000 0.500
Ca: 0.333 0.667 0.167
Ca: 0.667 0.333 0.833
Pr: 0.000 0.000 0.000
Pr: 0.333 0.667 0.667
Pr: 0.667 0.333 0.333

Its calculated formation energy is 233 meV/atom. The energy relative to the lowest polymorph listed for this composition comes out at 0.1364 eV/atom. As for the symmetry: R-3m (166). The calculation puts the theoretical density at 3224 kg/m³. The value obtained for the total DFT energy (no corrections) is -2.3032 eV per atom.

=====

# CuSN2O

CuSN2O after structural relaxation (PBE, Alexandria via LeMat-Bulk).

a b c (Å): 3.457 3.457 6.290
angles (deg): 90.00 90.00 90.00
Element x y z (fractional)
Cu: 0.000 0.000 0.000
S: 0.000 0.000 0.500
N: 0.000 0.500 0.000
N: 0.500 0.000 0.000
O: 0.500 0.500 0.500

As for the symmetry: P4/mmm (123). The calculation puts the theoretical density at 3084 kg/m³. The value obtained for the total DFT energy (no corrections) is -3.9701 eV per atom.

=====

# NdP2Ir2

NdP2Ir2 after structural relaxation (PBE, Alexandria via LeMat-Bulk).

a b c (Å): 4.182 4.182 9.624
angles (deg): 90.00 90.00 90.00
Element x y z (fractional)
Nd: 0.250 0.250 0.242
Nd: 0.750 0.750 0.758
P: 0.250 0.250 0.640
P: 0.250 0.750 0.000
P: 0.750 0.250 0.000
P: 0.750 0.750 0.360
Ir: 0.250 0.250 0.887
Ir: 0.250 0.750 0.500
Ir: 0.750 0.250 0.500
Ir: 0.750 0.750 0.113

Its calculated formation energy is -995 meV/atom. As for the symmetry: P4/nmm (129). The calculation puts the theoretical density at 11651 kg/m³. The value obtained for the total DFT energy (no corrections) is -7.6567 eV per atom.

=====

# VB2Rh4

VB2Rh4 after structural relaxation (PBE, Alexandria via LeMat-Bulk).

a b c (Å): 5.276 5.445 6.941
angles (deg): 105.94 104.90 108.03
Element x y z (fractional)
V: 0.000 0.000 0.000
V: 0.248 0.748 0.496
B: 0.010 0.335 0.557
B: 0.427 0.409 0.118
B: 0.555 0.037 0.377
B: 0.700 0.526 0.939
Rh: 0.160 0.632 0.115
Rh: 0.257 0.198 0.775
Rh: 0.292 0.265 0.379
Rh: 0.449 0.753 0.852
Rh: 0.730 0.171 0.721
Rh: 0.747 0.267 0.216
Rh: 0.779 0.799 0.280
Rh: 0.846 0.649 0.644

Its calculated formation energy is -297 meV/atom. As for the symmetry: P1 (1). The calculation puts the theoretical density at 9512 kg/m³. The value obtained for the total DFT energy (no corrections) is -7.7087 eV per atom.

=====

# TbHo3C2

TbHo3C2 after structural relaxation (PBE, Alexandria via LeMat-Bulk).

a b c (Å): 7.169 7.169 7.404
angles (deg): 119.11 119.11 60.01
Element x y z (fractional)
Tb: 0.242 0.242 0.224
Tb: 0.758 0.758 0.776
Ho: 0.239 0.740 0.217
Ho: 0.260 0.260 0.783
Ho: 0.260 0.761 0.783
Ho: 0.740 0.239 0.217
Ho: 0.740 0.740 0.217
Ho: 0.761 0.260 0.783
C: 0.000 0.000 0.000
C: 0.000 0.500 0.000
C: 0.500 0.000 0.000
C: 0.500 0.500 0.000

Its calculated formation energy is -290 meV/atom. As for the symmetry: C2/m (12). The calculation puts the theoretical density at 8256 kg/m³. The value obtained for the total DFT energy (no corrections) is -6.4255 eV per atom.